Entry from Alexandria: Ba2BH after structural relaxation (PBE-GGA).

Unit cell a=6.185 b=6.185 c=13.869 alpha=90.00 beta=90.00 gamma=90.00
Space group I-42d (No. 122)
Asymmetric unit:
Ba (0.226, 0.250, 0.125) x8
B (0.000, 0.000, 0.500) x4
H (0.000, 0.000, 0.000) x4

## Properties
Energy above the most stable polymorph in this dataset, meV/atom: 0
Crystal system: tetragonal